No. 1
DFT (PBE) results for an optimized crystal structure of Be2VSbRu.

a b c (Å): 4.328 4.328 4.963
angles (deg): 90.00 90.00 90.00
Atoms (fractional coordinates):
Be 0.000 0.500 0.000
Be 0.500 0.000 0.000
V 0.000 0.000 0.500
Sb 0.500 0.500 0.000
Ru 0.500 0.500 0.500

## Properties
Calculated total energy ... -4.35 eV/atom
ΔE_f (raw) ... 1.646 eV/atom

No. 2
DFT (PBE) results for an optimized crystal structure of ZrBeSb2Ru.

a b c (Å): 4.905 4.905 4.010
angles (deg): 90.00 90.00 90.00
Atoms (fractional coordinates):
Zr 0.000 0.000 0.000
Be 0.500 0.500 0.500
Sb 0.000 0.500 0.500
Sb 0.500 0.000 0.500
Ru 0.500 0.500 0.000

## Properties
Calculated total energy ... -5.73 eV/atom
ΔE_f (raw) ... 0.231 eV/atom

No. 3
DFT (PBE) results for an optimized crystal structure of Sc3BeRu.

a b c (Å): 4.647 4.647 4.647
angles (deg): 90.00 90.00 90.00
Atoms (fractional coordinates):
Sc 0.000 0.000 0.500
Sc 0.000 0.500 0.000
Sc 0.500 0.000 0.000
Be 0.000 0.000 0.000
Ru 0.500 0.500 0.500

## Properties
Formation energy from the elements ... 470 meV/atom
Calculated total energy ... -5.93 eV/atom

No. 4
DFT (PBE) results for an optimized crystal structure of ScBeRu.

a b c (Å): 4.943 4.943 4.943
angles (deg): 143.02 143.02 53.29
Atoms (fractional coordinates):
Sc 0.000 0.000 0.000
Be 0.706 0.706 0.000
Ru 0.304 0.304 0.000

## Properties
Formation energy from the elements ... -391 meV/atom
Calculated total energy ... -6.84 eV/atom

No. 5
DFT (PBE) results for an optimized crystal structure of Sc3BeRu.

a b c (Å): 4.939 4.939 4.939
angles (deg): 90.00 90.00 90.00
Atoms (fractional coordinates):
Sc 0.000 0.000 0.500
Sc 0.000 0.500 0.000
Sc 0.500 0.000 0.000
Be 0.500 0.500 0.500
Ru 0.000 0.000 0.000

## Properties
Formation energy from the elements ... 314 meV/atom
Calculated total energy ... -6.09 eV/atom

No. 6
DFT (PBE) results for an optimized crystal structure of ScBe2Ru.

a b c (Å): 4.124 4.124 3.087
angles (deg): 90.11 90.11 103.97
Atoms (fractional coordinates):
Sc 0.000 0.000 0.000
Be 0.000 0.500 0.500
Be 0.500 0.000 0.500
Ru 0.500 0.500 0.000

## Properties
Formation energy from the elements ... -112 meV/atom
Calculated total energy ... -5.88 eV/atom

No. 7
DFT (PBE) results for an optimized crystal structure of ScBe4Ru.

a b c (Å): 4.517 4.517 4.517
angles (deg): 60.00 60.00 60.00
Atoms (fractional coordinates):
Sc 0.000 0.000 0.000
Be 0.132 0.623 0.623
Be 0.623 0.132 0.623
Be 0.623 0.623 0.132
Be 0.623 0.623 0.623
Ru 0.250 0.250 0.250

## Properties
Formation energy from the elements ... -371 meV/atom
Calculated total energy ... -5.46 eV/atom

No. 8
DFT (PBE) results for an optimized crystal structure of ScBe2Ru.

a b c (Å): 3.046 3.046 5.548
angles (deg): 90.00 90.00 90.00
Atoms (fractional coordinates):
Sc 0.000 0.000 0.000
Be 0.500 0.500 0.310
Be 0.500 0.500 0.690
Ru 0.000 0.000 0.500

## Properties
Formation energy from the elements ... -326 meV/atom
Calculated total energy ... -6.09 eV/atom

No. 9
DFT (PBE) results for an optimized crystal structure of ScBe2Ru.

a b c (Å): 4.213 4.213 4.213
angles (deg): 60.00 60.00 60.00
Atoms (fractional coordinates):
Sc 0.000 0.000 0.000
Be 0.500 0.500 0.500
Be 0.750 0.750 0.750
Ru 0.250 0.250 0.250

## Properties
Formation energy from the elements ... -24 meV/atom
Calculated total energy ... -5.79 eV/atom

No. 10
DFT (PBE) results for an optimized crystal structure of Sc2BeRu.

a b c (Å): 5.145 5.145 4.529
angles (deg): 108.44 108.44 35.91
Atoms (fractional coordinates):
Sc 0.000 0.000 0.000
Sc 0.213 0.213 0.658
Be 0.452 0.452 0.463
Ru 0.781 0.781 0.225

## Properties
Formation energy from the elements ... -254 meV/atom
Calculated total energy ... -6.67 eV/atom

No. 11
DFT (PBE) results for an optimized crystal structure of ScBe2Ru.

a b c (Å): 4.149 4.149 4.149
angles (deg): 60.00 60.00 60.00
Atoms (fractional coordinates):
Sc 0.000 0.000 0.000
Be 0.250 0.250 0.250
Be 0.750 0.750 0.750
Ru 0.500 0.500 0.500

## Properties
Formation energy from the elements ... -223 meV/atom
Calculated total energy ... -5.99 eV/atom

No. 12
DFT (PBE) results for an optimized crystal structure of ScBe2Ru.

a b c (Å): 4.405 4.405 4.405
angles (deg): 128.73 128.73 75.45
Atoms (fractional coordinates):
Sc 0.000 0.000 0.000
Be 0.250 0.750 0.500
Be 0.750 0.250 0.500
Ru 0.500 0.500 0.000

## Properties
Formation energy from the elements ... -285 meV/atom
Calculated total energy ... -6.05 eV/atom

No. 13
DFT (PBE) results for an optimized crystal structure of ScBe2Ru.

a b c (Å): 3.953 3.953 3.263
angles (deg): 90.00 90.00 90.00
Atoms (fractional coordinates):
Sc 0.000 0.000 0.000
Be 0.000 0.500 0.500
Be 0.500 0.000 0.500
Ru 0.500 0.500 0.000

## Properties
Formation energy from the elements ... -107 meV/atom
Calculated total energy ... -5.87 eV/atom

No. 14
DFT (PBE) results for an optimized crystal structure of ScBe2Ru.

a b c (Å): 4.675 4.675 4.675
angles (deg): 133.63 133.63 67.67
Atoms (fractional coordinates):
Sc 0.000 0.000 0.000
Be 0.250 0.750 0.500
Be 0.500 0.500 0.000
Ru 0.750 0.250 0.500

## Properties
Formation energy from the elements ... -52 meV/atom
Calculated total energy ... -5.82 eV/atom

No. 15
DFT (PBE) results for an optimized crystal structure of ScBeRu.

a b c (Å): 4.990 4.990 6.393
angles (deg): 126.84 126.84 47.72
Atoms (fractional coordinates):
Sc 0.058 0.058 0.300
Sc 0.942 0.942 0.700
Be 0.328 0.328 0.881
Be 0.672 0.672 0.119
Ru 0.332 0.332 0.244
Ru 0.668 0.668 0.756

## Properties
Formation energy from the elements ... -355 meV/atom
Calculated total energy ... -6.80 eV/atom

No. 16
DFT (PBE) results for an optimized crystal structure of ScBe2Ru2.

a b c (Å): 6.678 6.678 2.924
angles (deg): 90.00 90.00 90.00
Atoms (fractional coordinates):
Sc 0.000 0.000 0.000
Sc 0.500 0.500 0.000
Be 0.134 0.366 0.500
Be 0.366 0.866 0.500
Be 0.634 0.134 0.500
Be 0.866 0.634 0.500
Ru 0.151 0.651 0.000
Ru 0.349 0.151 0.000
Ru 0.651 0.849 0.000
Ru 0.849 0.349 0.000

## Properties
Formation energy from the elements ... -178 meV/atom
Calculated total energy ... -6.65 eV/atom

No. 17
DFT (PBE) results for an optimized crystal structure of Sc2BeRu.

a b c (Å): 4.874 4.874 4.874
angles (deg): 131.07 131.07 71.70
Atoms (fractional coordinates):
Sc 0.000 0.000 0.000
Sc 0.750 0.250 0.500
Be 0.250 0.750 0.500
Ru 0.500 0.500 0.000

## Properties
Formation energy from the elements ... -130 meV/atom
Calculated total energy ... -6.55 eV/atom

No. 18
DFT (PBE) results for an optimized crystal structure of Sc3Be8Ru.

a b c (Å): 8.101 8.101 8.101
angles (deg): 33.21 33.21 33.21
Atoms (fractional coordinates):
Sc 0.000 0.000 0.000
Sc 0.124 0.124 0.124
Sc 0.508 0.508 0.508
Be 0.049 0.565 0.565
Be 0.069 0.069 0.567
Be 0.069 0.567 0.069
Be 0.314 0.314 0.314
Be 0.565 0.049 0.565
Be 0.565 0.565 0.049
Be 0.567 0.069 0.069
Be 0.814 0.814 0.814
Ru 0.626 0.626 0.626

## Properties
Formation energy from the elements ... -206 meV/atom
Calculated total energy ... -5.05 eV/atom

No. 19
DFT (PBE) results for an optimized crystal structure of ScBeRu.

a b c (Å): 4.941 4.941 4.941
angles (deg): 120.98 116.30 92.42
Atoms (fractional coordinates):
Sc 0.378 0.128 0.250
Sc 0.622 0.872 0.750
Be 0.000 0.000 0.500
Be 0.000 0.500 0.000
Ru 0.000 0.500 0.500
Ru 0.500 0.500 0.000

## Properties
Formation energy from the elements ... -401 meV/atom
Calculated total energy ... -6.85 eV/atom

No. 20
DFT (PBE) results for an optimized crystal structure of ScBeRu.

a b c (Å): 6.253 6.251 4.176
angles (deg): 70.51 70.46 39.02
Atoms (fractional coordinates):
Sc 0.152 0.152 0.848
Sc 0.848 0.848 0.152
Be 0.406 0.406 0.594
Be 0.594 0.594 0.406
Ru 0.000 0.000 0.500
Ru 0.500 0.500 0.000

## Properties
Formation energy from the elements ... -356 meV/atom
Calculated total energy ... -6.80 eV/atom